# 1
# GGA-PBE Mg2ZnHg5, optimized geometry
data_Mg2ZnHg5
_space_group_name_H-M_alt 'P 1'
_space_group_IT_number 1
_cell_length_a 6.341
_cell_length_b 12.488
_cell_length_c 4.437
_cell_angle_alpha 90.00
_cell_angle_beta 90.00
_cell_angle_gamma 90.00
loop_
_space_group_symop_operation_xyz
'x,y,z'
loop_
_atom_site_label
_atom_site_type_symbol
_atom_site_fract_x
_atom_site_fract_y
_atom_site_fract_z
_atom_site_occupancy
Mg1 Mg 0.211 0.136 0.000 1
Mg2 Mg 0.289 0.636 0.000 1
Mg3 Mg 0.711 0.364 0.000 1
Mg4 Mg 0.789 0.864 0.000 1
Zn1 Zn 0.000 0.500 0.500 1
Zn2 Zn 0.500 0.000 0.500 1
Hg1 Hg 0.000 0.000 0.500 1
Hg2 Hg 0.037 0.740 0.500 1
Hg3 Hg 0.209 0.394 0.000 1
Hg4 Hg 0.291 0.894 0.000 1
Hg5 Hg 0.463 0.240 0.500 1
Hg6 Hg 0.500 0.500 0.500 1
Hg7 Hg 0.537 0.760 0.500 1
Hg8 Hg 0.709 0.106 0.000 1
Hg9 Hg 0.791 0.606 0.000 1
Hg10 Hg 0.963 0.260 0.500 1
# **Calculated volume**: 351 Å³ per cell
# **Energy relative to the elements**: -0.060 eV per atom


# 2
# GGA-PBE Mg2ZnHg, optimized geometry
data_Mg2ZnHg
_space_group_name_H-M_alt 'P 1'
_space_group_IT_number 1
_cell_length_a 4.665
_cell_length_b 4.665
_cell_length_c 3.636
_cell_angle_alpha 90.00
_cell_angle_beta 90.00
_cell_angle_gamma 93.02
loop_
_space_group_symop_operation_xyz
'x,y,z'
loop_
_atom_site_label
_atom_site_type_symbol
_atom_site_fract_x
_atom_site_fract_y
_atom_site_fract_z
_atom_site_occupancy
Mg1 Mg 0.000 0.500 0.000 1
Mg2 Mg 0.500 0.000 0.000 1
Zn1 Zn 0.000 0.000 0.500 1
Hg1 Hg 0.500 0.500 0.500 1
# **Calculated volume**: 79 Å³ per cell
# **Energy relative to the elements**: -0.143 eV per atom
# **Relative energy among the computed polymorphs**: 0.03 eV/f.u.


# 3
# GGA-PBE MgZnHg2, optimized geometry
data_MgZnHg2
_space_group_name_H-M_alt 'P 1'
_space_group_IT_number 1
_cell_length_a 3.277
_cell_length_b 4.968
_cell_length_c 5.107
_cell_angle_alpha 90.00
_cell_angle_beta 90.99
_cell_angle_gamma 90.00
loop_
_space_group_symop_operation_xyz
'x,y,z'
loop_
_atom_site_label
_atom_site_type_symbol
_atom_site_fract_x
_atom_site_fract_y
_atom_site_fract_z
_atom_site_occupancy
Mg1 Mg 0.000 0.000 0.000 1
Zn1 Zn 0.003 0.500 0.383 1
Hg1 Hg 0.494 0.500 0.890 1
Hg2 Hg 0.507 0.000 0.490 1
# **Calculated volume**: 83 Å³ per cell
# **Energy relative to the elements**: -0.040 eV per atom


# 4
# GGA-PBE MgZnHg2, optimized geometry
data_MgZnHg2
_space_group_name_H-M_alt 'P 1'
_space_group_IT_number 1
_cell_length_a 9.051
_cell_length_b 9.051
_cell_length_c 9.051
_cell_angle_alpha 21.57
_cell_angle_beta 21.57
_cell_angle_gamma 21.57
loop_
_space_group_symop_operation_xyz
'x,y,z'
loop_
_atom_site_label
_atom_site_type_symbol
_atom_site_fract_x
_atom_site_fract_y
_atom_site_fract_z
_atom_site_occupancy
Mg1 Mg 0.000 0.000 0.000 1
Zn1 Zn 0.255 0.255 0.255 1
Hg1 Hg 0.511 0.511 0.511 1
Hg2 Hg 0.751 0.751 0.751 1
# **Calculated volume**: 88 Å³ per cell
# **Energy relative to the elements**: 0.014 eV per atom


# 5
# GGA-PBE Mg2Zn2Hg, optimized geometry
data_Mg2Zn2Hg
_space_group_name_H-M_alt 'P 1'
_space_group_IT_number 1
_cell_length_a 8.059
_cell_length_b 8.059
_cell_length_c 3.167
_cell_angle_alpha 90.00
_cell_angle_beta 90.00
_cell_angle_gamma 90.00
loop_
_space_group_symop_operation_xyz
'x,y,z'
loop_
_atom_site_label
_atom_site_type_symbol
_atom_site_fract_x
_atom_site_fract_y
_atom_site_fract_z
_atom_site_occupancy
Mg1 Mg 0.181 0.319 0.000 1
Mg2 Mg 0.319 0.819 0.000 1
Mg3 Mg 0.681 0.181 0.000 1
Mg4 Mg 0.819 0.681 0.000 1
Zn1 Zn 0.114 0.614 0.500 1
Zn2 Zn 0.386 0.114 0.500 1
Zn3 Zn 0.614 0.886 0.500 1
Zn4 Zn 0.886 0.386 0.500 1
Hg1 Hg 0.000 0.000 0.000 1
Hg2 Hg 0.500 0.500 0.000 1
# **Calculated volume**: 206 Å³ per cell
# **Energy relative to the elements**: 0.005 eV per atom
# **Relative energy among the computed polymorphs**: 0.44 eV/f.u.


# 6
# GGA-PBE MgZnHg3, optimized geometry
data_MgZnHg3
_space_group_name_H-M_alt 'P 1'
_space_group_IT_number 1
_cell_length_a 5.185
_cell_length_b 5.185
_cell_length_c 5.185
_cell_angle_alpha 90.00
_cell_angle_beta 90.00
_cell_angle_gamma 90.00
loop_
_space_group_symop_operation_xyz
'x,y,z'
loop_
_atom_site_label
_atom_site_type_symbol
_atom_site_fract_x
_atom_site_fract_y
_atom_site_fract_z
_atom_site_occupancy
Mg1 Mg 0.000 0.000 0.000 1
Zn1 Zn 0.500 0.500 0.500 1
Hg1 Hg 0.000 0.500 0.500 1
Hg2 Hg 0.500 0.000 0.500 1
Hg3 Hg 0.500 0.500 0.000 1
# **Calculated volume**: 139 Å³ per cell
# **Energy relative to the elements**: 0.187 eV per atom
# **Relative energy among the computed polymorphs**: 1.02 eV/f.u.


# 7
# GGA-PBE Mg8ZnHg2, optimized geometry
data_Mg8ZnHg2
_space_group_name_H-M_alt 'P 1'
_space_group_IT_number 1
_cell_length_a 8.161
_cell_length_b 8.161
_cell_length_c 8.161
_cell_angle_alpha 146.80
_cell_angle_beta 126.81
_cell_angle_gamma 64.15
loop_
_space_group_symop_operation_xyz
'x,y,z'
loop_
_atom_site_label
_atom_site_type_symbol
_atom_site_fract_x
_atom_site_fract_y
_atom_site_fract_z
_atom_site_occupancy
Mg1 Mg 0.121 0.349 0.772 1
Mg2 Mg 0.161 0.161 0.000 1
Mg3 Mg 0.283 0.000 0.283 1
Mg4 Mg 0.423 0.651 0.772 1
Mg5 Mg 0.577 0.349 0.228 1
Mg6 Mg 0.717 0.000 0.717 1
Mg7 Mg 0.839 0.839 0.000 1
Mg8 Mg 0.879 0.651 0.228 1
Zn1 Zn 0.000 0.500 0.500 1
Hg1 Hg 0.315 0.815 0.500 1
Hg2 Hg 0.685 0.185 0.500 1
# **Calculated volume**: 236 Å³ per cell
# **Energy relative to the elements**: -0.102 eV per atom
# **Relative energy among the computed polymorphs**: 0.07 eV/f.u.


# 8
# GGA-PBE MgZnHg, optimized geometry
data_MgZnHg
_space_group_name_H-M_alt 'P 1'
_space_group_IT_number 1
_cell_length_a 4.107
_cell_length_b 4.107
_cell_length_c 7.237
_cell_angle_alpha 90.37
_cell_angle_beta 90.37
_cell_angle_gamma 90.01
loop_
_space_group_symop_operation_xyz
'x,y,z'
loop_
_atom_site_label
_atom_site_type_symbol
_atom_site_fract_x
_atom_site_fract_y
_atom_site_fract_z
_atom_site_occupancy
Mg1 Mg 0.247 0.247 0.164 1
Mg2 Mg 0.753 0.753 0.836 1
Zn1 Zn 0.251 0.749 0.500 1
Zn2 Zn 0.749 0.251 0.500 1
Hg1 Hg 0.252 0.252 0.772 1
Hg2 Hg 0.748 0.748 0.228 1
# **Calculated volume**: 122 Å³ per cell
# **Energy relative to the elements**: -0.092 eV per atom
# **Relative energy among the computed polymorphs**: 0.00 eV/f.u.


Number 1: total moment 0.00 μB per formula unit. Number 2: total moment 0.00 μB per formula unit. Number 3: total moment 0.00 μB per formula unit. Number 4: total moment 0.00 μB per formula unit. Number 5: total moment 0.00 μB per formula unit. Number 6: total moment 0.00 μB per formula unit. Number 7: total moment 0.00 μB per formula unit. Number 8: total moment 0.00 μB per formula unit.